No. 1
VASP calculation (GGA-PBEsol) on a relaxed structure of TcAgO4.

abc: 6.769 6.769 6.769
angles: 134.32 134.32 66.58
Fractional positions:
Tc 0.375 0.125 0.250
Tc 0.625 0.875 0.750
Ag 0.125 0.375 0.750
Ag 0.875 0.625 0.250
O 0.153 0.804 0.879
O 0.226 0.347 0.151
O 0.304 0.925 0.651
O 0.425 0.274 0.621
O 0.575 0.726 0.379
O 0.696 0.075 0.349
O 0.774 0.653 0.849
O 0.847 0.196 0.121

Computed properties:
- space-group type = I4_1/a
- mass density (g/cm³) = 5.7
- raw formation energy (kcal/mol of atoms) = -25.13

=====

No. 2
VASP calculation (GGA-PBEsol) on a relaxed structure of Ag4TeO5.

abc: 8.481 8.481 11.679
angles: 102.96 102.96 42.99
Fractional positions:
Ag 0.000 0.500 0.000
Ag 0.063 0.937 0.750
Ag 0.123 0.721 0.944
Ag 0.205 0.223 0.243
Ag 0.223 0.205 0.743
Ag 0.277 0.554 0.279
Ag 0.279 0.877 0.556
Ag 0.446 0.723 0.221
Ag 0.500 0.000 0.500
Ag 0.554 0.277 0.779
Ag 0.721 0.123 0.444
Ag 0.723 0.446 0.721
Ag 0.777 0.795 0.257
Ag 0.795 0.777 0.757
Ag 0.877 0.279 0.056
Ag 0.937 0.063 0.250
Te 0.145 0.565 0.528
Te 0.435 0.855 0.972
Te 0.565 0.145 0.028
Te 0.855 0.435 0.472
O 0.085 0.167 0.368
O 0.105 0.762 0.440
O 0.118 0.375 0.586
O 0.167 0.085 0.868
O 0.238 0.895 0.060
O 0.298 0.356 0.915
O 0.356 0.298 0.415
O 0.375 0.118 0.086
O 0.400 0.471 0.634
O 0.471 0.400 0.134
O 0.529 0.600 0.866
O 0.600 0.529 0.366
O 0.625 0.882 0.914
O 0.644 0.702 0.585
O 0.702 0.644 0.085
O 0.762 0.105 0.940
O 0.833 0.915 0.132
O 0.882 0.625 0.414
O 0.895 0.238 0.560
O 0.915 0.833 0.632

Computed properties:
- space-group type = C2/c
- mass density (g/cm³) = 7.6
- raw formation energy (kcal/mol of atoms) = -9.55
- DOS(E_F) (states/eV/f.u.) = 1.9

=====

No. 3
VASP calculation (GGA-PBEsol) on a relaxed structure of Ag2Te2O7.

abc: 7.353 7.353 7.353
angles: 120.19 90.64 119.07
Fractional positions:
Ag 0.000 0.000 0.000
Ag 0.500 0.000 0.000
Ag 0.500 0.000 0.500
Ag 0.500 0.500 0.500
Te 0.000 0.000 0.500
Te 0.000 0.500 0.000
Te 0.000 0.500 0.500
Te 0.500 0.500 0.000
O 0.054 0.229 0.416
O 0.054 0.638 0.825
O 0.093 0.843 0.250
O 0.311 0.728 0.583
O 0.313 0.229 0.675
O 0.313 0.638 0.084
O 0.356 0.272 0.083
O 0.644 0.728 0.917
O 0.687 0.362 0.916
O 0.687 0.771 0.325
O 0.689 0.272 0.417
O 0.907 0.157 0.750
O 0.946 0.362 0.175
O 0.946 0.771 0.584

Computed properties:
- space-group type = Imma
- mass density (g/cm³) = 6.9
- raw formation energy (kcal/mol of atoms) = -15.35
- DOS(E_F) (states/eV/f.u.) = 5.1

=====

Copy entry 1 word for word.
VASP calculation (GGA-PBEsol) on a relaxed structure of TcAgO4.

abc: 6.769 6.769 6.769
angles: 134.32 134.32 66.58
Fractional positions:
Tc 0.375 0.125 0.250
Tc 0.625 0.875 0.750
Ag 0.125 0.375 0.750
Ag 0.875 0.625 0.250
O 0.153 0.804 0.879
O 0.226 0.347 0.151
O 0.304 0.925 0.651
O 0.425 0.274 0.621
O 0.575 0.726 0.379
O 0.696 0.075 0.349
O 0.774 0.653 0.849
O 0.847 0.196 0.121

Computed properties:
- space-group type = I4_1/a
- mass density (g/cm³) = 5.7
- raw formation energy (kcal/mol of atoms) = -25.13

=====

The highest mass density belongs to which entry? Ag4TeO5